## CaAlSb3 (SCAN)

Data for CaAlSb3 at its PBEsol-relaxed geometry.

- total magnetization (Bohr magnetons per cell) = 0.00
- energy relative to the elements, uncorrected (eV per atom) = 0.06
- space-group type = Pm-3m, No. 221

The structure in extended XYZ format:
```
5
Lattice="-4.491 -0.663 -2.697 2.411 -3.477 -3.159 -1.379 -3.918 3.260" Properties=species:S:1:pos:R:3 pbc="T T T"
Al 0.000 0.000 0.000
Sb -0.690 -1.959 1.630
Ca -1.729 -4.029 -1.298
Sb 1.206 -1.739 -1.580
Sb -2.245 -0.332 -1.349
```